No. 1
This record from Alexandria via LeMat-Bulk describes a PBEsol-optimized structure of ZrBeN2O. The functional is SCAN.

Formation energy (no corrections) = -0.93 eV/atom
Electronic total energy = -12.904 eV per atom
Crystal system = tetragonal

Cell and atoms, written as POSCAR:
```
ZrBeN2O
1.0
3.3222 0.0000 0.0000
0.0000 3.3222 0.0000
0.0000 0.0000 3.7983
Zr Be N O
1 1 2 1
Cartesian
0.0000 0.0000 0.0000
1.6611 1.6611 1.8992
0.0000 1.6611 1.8992
1.6611 0.0000 1.8992
1.6611 1.6611 0.0000
```

No. 2
This record from Alexandria via LeMat-Bulk describes a PBEsol-optimized structure of BeOsSe2N. The functional is SCAN.

Formation energy (no corrections) = 0.75 eV/atom
Electronic total energy = -24.387 eV per atom
Crystal system = tetragonal

Cell and atoms, written as POSCAR:
```
BeOsSe2N
1.0
5.0068 0.0000 0.0000
0.0000 5.0068 0.0000
0.0000 0.0000 3.6252
Be Os Se N
1 1 2 1
Cartesian
0.0000 0.0000 0.0000
2.5034 2.5034 1.8126
0.0000 2.5034 1.8126
2.5034 0.0000 1.8126
2.5034 2.5034 0.0000
```

No. 3
This record from Alexandria via LeMat-Bulk describes a PBEsol-optimized structure of BeP2N4. The functional is SCAN.

Formation energy (no corrections) = -0.96 eV/atom
Electronic total energy = -9.864 eV per atom
Crystal system = trigonal

Cell and atoms, written as POSCAR:
```
BeP2N4
1.0
6.3568 3.6701 2.7812
-6.3568 3.6701 2.7812
0.0000 -7.3402 2.7812
Be P N
6 12 24
Cartesian
-1.4660 -2.1261 2.0859
-1.1083 2.3327 2.0859
2.5743 -0.2065 2.0859
-2.5743 0.2065 6.2578
1.1083 -2.3327 6.2578
1.4660 2.1261 6.2578
-5.2013 1.3561 3.4714
-3.7751 -3.8264 4.8723
-2.5908 0.2077 3.4812
1.4262 -5.1825 3.4714
-1.4753 -2.1399 4.8625
1.1156 -2.3476 3.4812
-1.1156 2.3476 4.8625
1.4753 2.1399 3.4812
-1.4262 5.1826 4.8723
2.5908 -0.2077 4.8625
3.7751 3.8264 3.4714
5.2013 -1.3561 4.8723
-4.2238 0.0418 3.4825
-2.0844 0.8961 2.0740
-4.4378 -2.3303 4.9344
-0.2008 -5.0084 3.4093
0.2662 -2.2532 2.0740
-4.2370 2.6781 3.4093
-1.9530 -1.2989 3.5444
-2.1481 -3.6370 4.8612
2.0757 -3.6788 3.4825
1.8183 1.3571 2.0740
-2.1014 1.0419 4.7993
0.1483 -2.3408 4.7993
-0.1483 2.3408 3.5444
2.1014 -1.0419 3.5444
-1.8183 -1.3571 6.2697
-2.0757 3.6788 4.8612
2.1481 3.6370 3.4825
1.9530 1.2989 4.7993
4.2370 -2.6781 4.9344
-0.2662 2.2532 6.2697
0.2008 5.0084 4.9344
4.4378 2.3303 3.4093
2.0844 -0.8961 6.2697
4.2238 -0.0418 4.8612
```

No. 4
This record from Alexandria via LeMat-Bulk describes a PBEsol-optimized structure of BePSe2N. The functional is SCAN.

Relative energy among the computed polymorphs = 0 meV per atom
Formation energy (no corrections) = 0.70 eV/atom
Electronic total energy = -12.142 eV per atom
Crystal system = tetragonal

Cell and atoms, written as POSCAR:
```
BePSe2N
1.0
4.8762 0.0000 0.0000
0.0000 4.8762 0.0000
0.0000 0.0000 3.2191
Be P Se N
1 1 2 1
Cartesian
0.0000 0.0000 0.0000
2.4381 2.4381 1.6096
0.0000 2.4381 1.6096
2.4381 0.0000 1.6096
2.4381 2.4381 0.0000
```

No. 5
This record from Alexandria via LeMat-Bulk describes a PBEsol-optimized structure of BePSe2N. The functional is SCAN.

Relative energy among the computed polymorphs = 42 meV per atom
Formation energy (no corrections) = 0.74 eV/atom
Electronic total energy = -12.100 eV per atom
Crystal system = tetragonal

Cell and atoms, written as POSCAR:
```
BePSe2N
1.0
4.7748 0.0000 0.0000
0.0000 4.7748 0.0000
0.0000 0.0000 3.1289
Be P Se N
1 1 2 1
Cartesian
0.0000 0.0000 0.0000
2.3874 2.3874 1.5645
0.0000 2.3874 0.0000
2.3874 0.0000 0.0000
0.0000 0.0000 1.5645
```

No. 6
This record from Alexandria via LeMat-Bulk describes a PBEsol-optimized structure of BePbSN2. The functional is SCAN.

Formation energy (no corrections) = 0.91 eV/atom
Electronic total energy = -20.762 eV per atom
Crystal system = tetragonal

Cell and atoms, written as POSCAR:
```
BePbSN2
1.0
3.8232 0.0000 0.0000
0.0000 3.8232 0.0000
0.0000 0.0000 4.5954
Be Pb S N
1 1 1 2
Cartesian
0.0000 0.0000 0.0000
1.9116 1.9116 2.2977
0.0000 0.0000 2.2977
0.0000 1.9116 0.0000
1.9116 0.0000 0.0000
```